No. 1
# K2MnP

An optimized crystal structure of K2MnP (PBE, Alexandria).

final energy: -3.73 eV/atom
crystal system: tetragonal
DFT formation energy: 0.469 eV/atom

abc: 6.061 6.061 4.367
angles: 68.89 68.89 42.22
Fractional positions:
1 K 0.000 0.000 0.000
2 K 0.500 0.500 0.500
3 Mn 0.750 0.750 0.750
4 P 0.250 0.250 0.250


No. 2
# K2MnP

An optimized crystal structure of K2MnP (PBE, Alexandria).

final energy: -4.28 eV/atom
crystal system: monoclinic
DFT formation energy: -0.085 eV/atom

abc: 4.176 4.176 9.661
angles: 77.31 77.31 59.95
Fractional positions:
1 K 0.966 0.966 0.106
2 K 0.784 0.784 0.644
3 Mn 0.542 0.542 0.375
4 P 0.208 0.208 0.375


No. 3
# K2MnP

An optimized crystal structure of K2MnP (PBE, Alexandria).

final energy: -4.09 eV/atom
crystal system: tetragonal
DFT formation energy: 0.099 eV/atom

abc: 3.512 3.512 10.094
angles: 90.00 90.00 90.00
Fractional positions:
1 K 0.000 0.000 0.917
2 K 0.500 0.500 0.325
3 Mn 0.000 0.000 0.609
4 P 0.500 0.500 0.649